Crystalline Pm2Er8Tl at its relaxed geometry, computed with PBE.

ρ = 9.10 g/cm3
energy above the most stable polymorph in this dataset = 0 meV per atom
energy relative to the elements = -29 meV per atom

Geometry as POSCAR:
```
Pm2Er8Tl
1.0
-3.5856 -2.2975 -2.4817
4.9651 -5.7700 -1.8319
-1.9788 -1.3475 9.0012
Er Pm Tl
8 2 1
Cartesian
1.3558 -7.2977 -0.0975
-0.2581 -4.1588 -0.6717
-0.4551 -7.7380 2.9266
3.2523 -4.3900 -0.6348
-0.1443 -1.6770 1.7610
-3.8517 -5.0250 5.3224
-1.9552 -2.1174 4.7851
-0.3413 -5.2563 5.3592
1.4794 -4.7690 2.2776
-2.0787 -4.6461 2.4099
-1.7928 -1.1488 -1.2409
```